Below is a relaxed structure of TaTlSnHg2, with properties calculated at the GGA-PBE level.

Calculated values
DFT formation energy: 30.6 kcal/mol of atoms
total magnetization: 1.75 Bohr magnetons per cell

The structure in CIF format:
```
data_TaTlSnHg2
_symmetry_space_group_name_H-M 'P 4/m m m'
_symmetry_Int_Tables_number 123
_symmetry_space_group_name_Hall '-P 4 2'
_cell_length_a 5.397
_cell_length_b 5.397
_cell_length_c 5.504
_cell_angle_alpha 90.00
_cell_angle_beta 90.00
_cell_angle_gamma 90.00
loop_
_atom_site_label
_atom_site_type_symbol
_atom_site_fract_x
_atom_site_fract_y
_atom_site_fract_z
Ta1 Ta 0.000 0.000 0.000
Tl1 Tl 0.000 0.000 0.500
Sn1 Sn 0.500 0.500 0.000
Hg1 Hg 0.000 0.500 0.500
```